Entry from Alexandria via LeMat-Bulk: crystalline Ac2NdH8 at its relaxed geometry (GGA-PBE).

abc: 4.0755 5.5480 7.0043
angles: 113.33 106.91 90.00
With the nearest neighbours (Å) after each atom.
Element x y z (fractional)
H  0.8265  0.8265  0.6530  8 H 2.48-2.52, 2 Ac 2.77
H  0.3465  0.0970  0.6929  1 Nd 2.33, 3 Ac 2.47-2.57, 3 H 2.48-2.52
H  0.3465  0.5959  0.6929  1 Nd 2.33, 3 Ac 2.47-2.57, 3 H 2.48-2.52
H  0.1735  0.1735  0.3470  8 H 2.48-2.52, 2 Ac 2.77
H  0.0000  0.7570  0.0000  2 Nd 2.44, 2 Ac 2.51, 3 H 2.51-2.70
H  0.6535  0.4041  0.3071  1 Nd 2.33, 3 Ac 2.47-2.57, 3 H 2.48-2.52
H  0.0000  0.2430  0.0000  2 Nd 2.44, 2 Ac 2.51, 3 H 2.51-2.70
H  0.6535  0.9030  0.3071  1 Nd 2.33, 3 Ac 2.47-2.57, 3 H 2.48-2.52
Nd  0.5000  0.0000  0.0000  8 H 2.33-2.44
Ac  0.8308  0.3308  0.6616  8 H 2.47-2.57
Ac  0.1692  0.6692  0.3384  8 H 2.47-2.57


Entry from Alexandria via LeMat-Bulk: crystalline PrZnCdIn at its relaxed geometry (GGA-PBE).

abc: 5.1262 5.1262 5.1262
angles: 60.00 60.00 60.00
With the nearest neighbours (Å) after each atom.
Element x y z (fractional)
Pr  0.5000  0.5000  0.5000  4 Cd 3.14, 4 Zn 3.14
Zn  0.2500  0.2500  0.2500  4 In 3.14, 4 Pr 3.14
In  0.0000  0.0000  0.0000  4 Zn 3.14, 4 Cd 3.14
Cd  0.7500  0.7500  0.7500  4 Pr 3.14, 4 In 3.14


Entry from Alexandria via LeMat-Bulk: crystalline SrFeH3 at its relaxed geometry (GGA-PBE).

- Polymorph energy (0 for the lowest one): 512 kJ/mol of formula units

abc: 4.4216 4.4216 4.4216
angles: 90.00 90.00 90.00
With the nearest neighbours (Å) after each atom.
Element x y z (fractional)
H  0.5000  0.0000  0.0000  2 Sr 2.21
H  0.0000  0.0000  0.5000  2 Sr 2.21
H  0.0000  0.5000  0.0000  2 Sr 2.21
Fe  0.5000  0.5000  0.5000  12 H 3.13
Sr  0.0000  0.0000  0.0000  6 H 2.21


Calculated DOS at the Fermi energy (states/eV/f.u.), listed in the same order as above: 1.1 2.2 9.9
Calculated final energy (eV per atom), listed in the same order as above: -4.18 -2.71 -3.22